# Li2VCrO4 PBE+U optimized geometry
# Polymorph energy (0 for the lowest one)   0.031 eV per atom
# VASP energy   -6.880 eV per atom
# Calculated volume   148.48 Å³ per cell
# ρ   4.04 g cm⁻³
data_Li2VCrO4
_chemical_formula_sum 'Li4 V2 Cr2 O8'
_symmetry_space_group_name_H-M 'I -4 m 2'
_symmetry_Int_Tables_number 119
_symmetry_space_group_name_Hall 'I -4 -2'
_cell_length_a 4.0620
_cell_length_b 4.0620
_cell_length_c 8.9986
_cell_angle_alpha 90.00
_cell_angle_beta 90.00
_cell_angle_gamma 90.00
loop_
_atom_site_label
_atom_site_type_symbol
_atom_site_fract_x
_atom_site_fract_y
_atom_site_fract_z
Li1 Li 0.0000 0.0000 0.0000
Li2 Li 0.0000 0.5000 0.2500
V1 V 0.0000 0.0000 0.5000
Cr1 Cr 0.0000 0.5000 0.7500
O1 O 0.0000 0.0000 0.2668
O2 O 0.0000 0.5000 0.5229